No. 1
{"formula": "ZnFe4Ni7", "functional": "PBE-GGA", "state": "relaxed", "cell": [[-2.7659, -1.2818, 3.0702], [-3.6875, -6.4295, -2.9578], [1.7741, -3.3246, 3.2588]], "species": ["Zn", "Fe", "Fe", "Fe", "Fe", "Ni", "Ni", "Ni", "Ni", "Ni", "Ni", "Ni"], "frac_coords": [[0.0000, 0.0000, 0.0000], [0.5914, 0.2268, 0.5904], [0.4086, 0.7732, 0.4096], [0.7275, 0.6887, 0.8563], [0.2725, 0.3113, 0.1437], [0.7900, 0.9159, 0.5041], [0.2100, 0.0841, 0.4959], [0.0388, 0.6218, 0.3007], [0.9612, 0.3782, 0.6993], [0.3455, 0.5419, 0.7671], [0.5000, 0.0000, 0.0000], [0.6545, 0.4581, 0.2329]], "e_form_mev_per_atom": 219.0}

---

No. 2
{"formula": "ZnNi8Rh2", "functional": "PBE-GGA", "state": "relaxed", "cell": [[3.4822, 0.0000, -1.0010], [-0.5496, 5.3746, -1.9119], [0.0475, 0.5272, 6.7226]], "species": ["Zn", "Ni", "Ni", "Ni", "Ni", "Ni", "Ni", "Ni", "Ni", "Rh", "Rh"], "frac_coords": [[0.5000, 0.0000, 0.0000], [0.5879, 0.4553, 0.1757], [0.3194, 0.0882, 0.6388], [0.1348, 0.1781, 0.2695], [0.0441, 0.7233, 0.0883], [0.8652, 0.8219, 0.7305], [0.6806, 0.9118, 0.3612], [0.4121, 0.5447, 0.8243], [0.9559, 0.2767, 0.9117], [0.2255, 0.6421, 0.4510], [0.7745, 0.3579, 0.5490]], "e_form_mev_per_atom": -25.5}

---

No. 3
{"formula": "K2RbInAg", "functional": "PBE-GGA", "state": "relaxed", "cell": [[-2.0974, -4.6591, -4.6171], [-2.6456, -3.8347, 5.0715], [-4.6969, 2.5968, -0.4868]], "species": ["K", "K", "Rb", "Ag", "In"], "frac_coords": [[0.0000, 0.5000, 0.0000], [0.5000, 0.0000, 0.0000], [0.5000, 0.5000, 0.5000], [0.0000, 0.0000, 0.5000], [0.0000, 0.0000, 0.0000]], "e_form_mev_per_atom": 96.1}

---

No. 4
{"formula": "Ce2NdTh3Sb6", "functional": "PBE-GGA", "state": "relaxed", "cell": [[4.5050, 0.0000, 0.0000], [0.0000, 9.0216, 0.3107], [-2.2525, -2.6071, 9.4799]], "species": ["Ce", "Ce", "Nd", "Th", "Th", "Th", "Sb", "Sb", "Sb", "Sb", "Sb", "Sb"], "frac_coords": [[0.8334, 0.6672, 0.6667], [0.1666, 0.3328, 0.3333], [0.5000, 0.0000, 0.0000], [0.5000, 0.5000, 0.0000], [0.8338, 0.1663, 0.6677], [0.1662, 0.8337, 0.3323], [0.3330, 0.9157, 0.6660], [0.6669, 0.5830, 0.3338], [0.6670, 0.0843, 0.3340], [0.0006, 0.2511, 0.0012], [0.9994, 0.7489, 0.9988], [0.3331, 0.4170, 0.6662]], "e_form_raw_ev_per_atom": -1.016}

---

no.,electronic total energy (eV per atom)
1,-6.08
2,-5.68
3,-1.65
4,-6.32